(1)
Al2MoRh at its PBEsol-relaxed geometry, computed with SCAN.

Summary:
Theoretical density ... 6.77 Mg/m³
Offset from the most stable computed form ... 523 meV per atom
Calculated volume ... 61.98 Å³/f.u.

The structure in CIF format:
```
data_Al2MoRh
_chemical_formula_sum 'Al8 Mo4 Rh4'
_symmetry_space_group_name_H-M 'I -4 2 d'
_symmetry_Int_Tables_number 122
_symmetry_space_group_name_Hall 'I -4 2bw'
_cell_length_a 6.740
_cell_length_b 6.740
_cell_length_c 5.458
_cell_angle_alpha 90.00
_cell_angle_beta 90.00
_cell_angle_gamma 90.00
loop_
_atom_site_label
_atom_site_type_symbol
_atom_site_fract_x
_atom_site_fract_y
_atom_site_fract_z
Al1 Al 0.227 0.750 0.125
Mo1 Mo 0.000 0.000 0.500
Rh1 Rh 0.000 0.000 0.000
```

(2)
AlMoRh2 at its PBEsol-relaxed geometry, computed with SCAN.

Summary:
DFT total energy ... -27.99 eV per atom
Theoretical density ... 9.67 Mg/m³
Calculated volume ... 56.47 Å³/f.u.

The structure in CIF format:
```
data_AlMoRh2
_chemical_formula_sum 'Al1 Mo1 Rh2'
_symmetry_space_group_name_H-M 'P 4/m m m'
_symmetry_Int_Tables_number 123
_symmetry_space_group_name_Hall '-P 4 2'
_cell_length_a 4.489
_cell_length_b 4.489
_cell_length_c 2.802
_cell_angle_alpha 90.00
_cell_angle_beta 90.00
_cell_angle_gamma 90.00
loop_
_atom_site_label
_atom_site_type_symbol
_atom_site_fract_x
_atom_site_fract_y
_atom_site_fract_z
Al1 Al 0.000 0.000 0.000
Mo1 Mo 0.500 0.500 0.000
Rh1 Rh 0.000 0.500 0.500
```

(3)
AlTlMo2Rh at its PBEsol-relaxed geometry, computed with SCAN.

Summary:
DFT total energy ... -34.39 eV per atom
Theoretical density ... 7.63 Mg/m³
Calculated volume ... 114.50 Å³/f.u.

The structure in CIF format:
```
data_AlTlMo2Rh
_chemical_formula_sum 'Al1 Tl1 Mo2 Rh1'
_symmetry_space_group_name_H-M 'P 4/m m m'
_symmetry_Int_Tables_number 123
_symmetry_space_group_name_Hall '-P 4 2'
_cell_length_a 4.971
_cell_length_b 4.971
_cell_length_c 4.634
_cell_angle_alpha 90.00
_cell_angle_beta 90.00
_cell_angle_gamma 90.00
loop_
_atom_site_label
_atom_site_type_symbol
_atom_site_fract_x
_atom_site_fract_y
_atom_site_fract_z
Al1 Al 0.000 0.000 0.000
Tl1 Tl 0.000 0.000 0.500
Mo1 Mo 0.000 0.500 0.500
Rh1 Rh 0.500 0.500 0.000
```

(4)
AlMo2Ru at its PBEsol-relaxed geometry, computed with SCAN.

Summary:
DFT total energy ... -28.34 eV per atom
Theoretical density ... 9.23 Mg/m³
Calculated volume ... 57.53 Å³/f.u.

The structure in CIF format:
```
data_AlMo2Ru
_chemical_formula_sum 'Al1 Mo2 Ru1'
_symmetry_space_group_name_H-M 'P m m m'
_symmetry_Int_Tables_number 47
_cell_length_a 3.088
_cell_length_b 4.168
_cell_length_c 4.470
_cell_angle_alpha 90.00
_cell_angle_beta 90.00
_cell_angle_gamma 90.00
loop_
_symmetry_equiv_pos_as_xyz
'x,y,z'
'-x,-y,-z'
'-x,-y,z'
'x,y,-z'
'x,-y,-z'
'-x,y,z'
'-x,y,-z'
'x,-y,z'
loop_
_atom_site_label
_atom_site_type_symbol
_atom_site_fract_x
_atom_site_fract_y
_atom_site_fract_z
Al1 Al 0.000 0.000 0.000
Mo1 Mo 0.000 0.500 0.500
Mo2 Mo 0.500 0.000 0.500
Ru1 Ru 0.500 0.500 0.000
```

(5)
AlMoRu2 at its PBEsol-relaxed geometry, computed with SCAN.

Summary:
DFT total energy ... -28.55 eV per atom
Theoretical density ... 9.83 Mg/m³
Calculated volume ... 54.93 Å³/f.u.

The structure in CIF format:
```
data_AlMoRu2
_chemical_formula_sum 'Al1 Mo1 Ru2'
_symmetry_space_group_name_H-M 'P 4/m m m'
_symmetry_Int_Tables_number 123
_symmetry_space_group_name_Hall '-P 4 2'
_cell_length_a 2.961
_cell_length_b 2.961
_cell_length_c 6.265
_cell_angle_alpha 90.00
_cell_angle_beta 90.00
_cell_angle_gamma 90.00
loop_
_atom_site_label
_atom_site_type_symbol
_atom_site_fract_x
_atom_site_fract_y
_atom_site_fract_z
Al1 Al 0.000 0.000 0.000
Mo1 Mo 0.000 0.000 0.500
Ru1 Ru 0.500 0.500 0.239
```

(6)
AlMo2Ru at its PBEsol-relaxed geometry, computed with SCAN.

Summary:
DFT total energy ... -28.15 eV per atom
Theoretical density ... 9.13 Mg/m³
Calculated volume ... 58.17 Å³/f.u.

The structure in CIF format:
```
data_AlMo2Ru
_chemical_formula_sum 'Al2 Mo4 Ru2'
_symmetry_space_group_name_H-M 'I -4 m 2'
_symmetry_Int_Tables_number 119
_symmetry_space_group_name_Hall 'I -4 -2'
_cell_length_a 3.701
_cell_length_b 3.701
_cell_length_c 8.492
_cell_angle_alpha 90.00
_cell_angle_beta 90.00
_cell_angle_gamma 90.00
loop_
_atom_site_label
_atom_site_type_symbol
_atom_site_fract_x
_atom_site_fract_y
_atom_site_fract_z
Al1 Al 0.000 0.000 0.000
Mo1 Mo 0.000 0.000 0.500
Mo2 Mo 0.000 0.500 0.250
Ru1 Ru 0.000 0.500 0.750
```

(7)
AlMo2Ru at its PBEsol-relaxed geometry, computed with SCAN.

Summary:
DFT total energy ... -28.16 eV per atom
Theoretical density ... 9.08 Mg/m³
Calculated volume ... 58.51 Å³/f.u.

The structure in CIF format:
```
data_AlMo2Ru
_chemical_formula_sum 'Al1 Mo2 Ru1'
_symmetry_space_group_name_H-M 'P m m 2'
_symmetry_Int_Tables_number 25
_cell_length_a 2.747
_cell_length_b 4.070
_cell_length_c 5.234
_cell_angle_alpha 90.00
_cell_angle_beta 90.00
_cell_angle_gamma 90.00
loop_
_symmetry_equiv_pos_as_xyz
'x,y,z'
'-x,-y,z'
'-x,y,z'
'x,-y,z'
loop_
_atom_site_label
_atom_site_type_symbol
_atom_site_fract_x
_atom_site_fract_y
_atom_site_fract_z
Al1 Al 0.000 0.000 0.000
Mo1 Mo 0.000 0.000 0.509
Mo2 Mo 0.500 0.500 0.248
Ru1 Ru 0.500 0.500 0.777
```

(8)
AlMo2Ru at its PBEsol-relaxed geometry, computed with SCAN.

Summary:
DFT total energy ... -28.46 eV per atom
Theoretical density ... 9.29 Mg/m³
Calculated volume ... 57.17 Å³/f.u.

The structure in CIF format:
```
data_AlMo2Ru
_chemical_formula_sum 'Al2 Mo4 Ru2'
_symmetry_space_group_name_H-M 'I m m m'
_symmetry_Int_Tables_number 71
_symmetry_space_group_name_Hall '-I 2 2'
_cell_length_a 3.100
_cell_length_b 4.171
_cell_length_c 8.842
_cell_angle_alpha 90.00
_cell_angle_beta 90.00
_cell_angle_gamma 90.00
loop_
_atom_site_label
_atom_site_type_symbol
_atom_site_fract_x
_atom_site_fract_y
_atom_site_fract_z
Al1 Al 0.000 0.000 0.000
Mo1 Mo 0.000 0.500 0.246
Ru1 Ru 0.000 0.000 0.500
```

(9)
AlMoRu2 at its PBEsol-relaxed geometry, computed with SCAN.

Summary:
DFT total energy ... -27.99 eV per atom
Theoretical density ... 9.52 Mg/m³
Calculated volume ... 56.70 Å³/f.u.

The structure in CIF format:
```
data_AlMoRu2
_chemical_formula_sum 'Al2 Mo2 Ru4'
_symmetry_space_group_name_H-M 'C m m 2'
_symmetry_Int_Tables_number 35
_cell_length_a 2.926
_cell_length_b 4.492
_cell_length_c 8.629
_cell_angle_alpha 90.00
_cell_angle_beta 90.00
_cell_angle_gamma 90.00
loop_
_symmetry_equiv_pos_as_xyz
'x,y,z'
'-x,-y,z'
'-x,y,z'
'x,-y,z'
'x+1/2,y+1/2,z'
'-x+1/2,-y+1/2,z'
'-x+1/2,y+1/2,z'
'x+1/2,-y+1/2,z'
loop_
_atom_site_label
_atom_site_type_symbol
_atom_site_fract_x
_atom_site_fract_y
_atom_site_fract_z
Al1 Al 0.000 0.000 0.000
Mo1 Mo 0.000 0.500 0.739
Ru1 Ru 0.000 0.000 0.490
Ru2 Ru 0.000 0.500 0.233
```

(10)
AlSbMo at its PBEsol-relaxed geometry, computed with SCAN.

Summary:
Theoretical density ... 8.05 Mg/m³
Offset from the most stable computed form ... 0 meV per atom
Formation energy (no corrections) ... -0.579 eV/f.u.
Calculated volume ... 50.49 Å³/f.u.

The structure in CIF format:
```
data_AlSbMo
_chemical_formula_sum 'Al2 Sb2 Mo2'
_symmetry_space_group_name_H-M 'I 4 m m'
_symmetry_Int_Tables_number 107
_symmetry_space_group_name_Hall 'I 4 -2'
_cell_length_a 3.432
_cell_length_b 3.432
_cell_length_c 8.574
_cell_angle_alpha 90.00
_cell_angle_beta 90.00
_cell_angle_gamma 90.00
loop_
_atom_site_label
_atom_site_type_symbol
_atom_site_fract_x
_atom_site_fract_y
_atom_site_fract_z
Al1 Al 0.000 0.000 0.000
Sb1 Sb 0.000 0.000 0.322
Mo1 Mo 0.000 0.000 0.658
```

(11)
AlSbMo at its PBEsol-relaxed geometry, computed with SCAN.

Summary:
Theoretical density ... 7.45 Mg/m³
Offset from the most stable computed form ... 575 meV per atom
Formation energy (no corrections) ... 1.146 eV/f.u.
Calculated volume ... 54.51 Å³/f.u.

The structure in CIF format:
```
data_AlSbMo
_chemical_formula_sum 'Al1 Sb1 Mo1'
_symmetry_space_group_name_H-M 'P 3 m 1'
_symmetry_Int_Tables_number 156
_cell_length_a 4.6976
_cell_length_b 4.6976
_cell_length_c 2.8524
_cell_angle_alpha 90.00
_cell_angle_beta 90.00
_cell_angle_gamma 120.00
loop_
_symmetry_equiv_pos_as_xyz
'x,y,z'
'-y,x-y,z'
'-x+y,-x,z'
'-y,-x,z'
'-x+y,y,z'
'x,x-y,z'
loop_
_atom_site_label
_atom_site_type_symbol
_atom_site_fract_x
_atom_site_fract_y
_atom_site_fract_z
Al1 Al 0.0000 0.0000 0.0000
Sb1 Sb 0.6667 0.3333 0.4989
Mo1 Mo 0.3333 0.6667 0.5007
```

(12)
ScAl3Mo at its PBEsol-relaxed geometry, computed with SCAN.

Summary:
DFT total energy ... -12.94 eV per atom
Theoretical density ... 3.20 Mg/m³
Calculated volume ... 115.02 Å³/f.u.

The structure in CIF format:
```
data_ScAl3Mo
_chemical_formula_sum 'Sc1 Al3 Mo1'
_symmetry_space_group_name_H-M 'P m -3 m'
_symmetry_Int_Tables_number 221
_symmetry_space_group_name_Hall '-P 4 2 3'
_cell_length_a 4.863
_cell_length_b 4.863
_cell_length_c 4.863
_cell_angle_alpha 90.00
_cell_angle_beta 90.00
_cell_angle_gamma 90.00
loop_
_atom_site_label
_atom_site_type_symbol
_atom_site_fract_x
_atom_site_fract_y
_atom_site_fract_z
Sc1 Sc 0.000 0.000 0.000
Al1 Al 0.000 0.000 0.500
Mo1 Mo 0.500 0.500 0.500
```

no.,density of states at the Fermi level (states/eV/cell)
1,12.02
2,3.83
3,3.21
4,2.45
5,1.95
6,5.79
7,2.74
8,3.56
9,6.51
10,0.37
11,2.13
12,3.77